[1]
! Pa2Ge4Ir3Pd, relaxed, DFT PBE-GGA; values from VASP
&SYSTEM
  ibrav = 0, nat = 10, ntyp = 4
/
ATOMIC_SPECIES
Ge 72.64 Ge.upf
Pa 231.04 Pa.upf
Ir 192.22 Ir.upf
Pd 106.42 Pd.upf
ATOMIC_POSITIONS crystal
Ge 0.5000 0.0000 0.6342
Ge 0.0000 0.0000 0.0000
Ge 0.5000 0.5000 0.0000
Ge 0.0000 0.5000 0.3658
Pa 0.5000 0.0000 0.2477
Pa 0.0000 0.5000 0.7523
Ir 0.0000 0.5000 0.1286
Ir 0.5000 0.0000 0.8714
Ir 0.0000 0.0000 0.5000
Pd 0.5000 0.5000 0.5000
CELL_PARAMETERS angstrom
4.2379 0.0000 0.0000
0.0000 4.2379 0.0000
0.0000 0.0000 10.1136
! * space-group type: No. 115
! * crystal system: tetragonal

---

[2]
! BaMgZnHg3, relaxed, DFT PBE-GGA; values from VASP
&SYSTEM
  ibrav = 0, nat = 12, ntyp = 4
/
ATOMIC_SPECIES
Ba 137.33 Ba.upf
Hg 200.59 Hg.upf
Zn 65.41 Zn.upf
Mg 24.30 Mg.upf
ATOMIC_POSITIONS crystal
Ba 0.2500 0.7143 0.4287
Ba 0.7500 0.2857 0.5713
Hg 0.5000 0.2950 0.0000
Hg 0.2500 0.1814 0.3627
Hg 0.0000 0.2950 0.0000
Hg 0.7500 0.8186 0.6373
Hg 0.5000 0.7050 0.0000
Hg 0.0000 0.7050 0.0000
Zn 0.7500 0.6203 0.2407
Zn 0.2500 0.3797 0.7593
Mg 0.2500 0.9774 0.9549
Mg 0.7500 0.0226 0.0451
CELL_PARAMETERS angstrom
6.8068 0.0000 0.0000
0.0000 7.3931 0.0000
0.0000 -3.6966 6.8373
! * space-group type: No. 63
! * crystal system: orthorhombic

---

| no. | ΔH_f (0 K) (eV/atom) | V (Å³ per atom) | size of the total moment (μB/cell) |
| --- | --- | --- | --- |
| 1 | -0.647 | 18.2 | 0.0 |
| 2 | -0.190 | 28.7 | 0.0 |